Nd2Er (PBE-GGA, optimized geometry); SG = Fd-3m, No. 227; formation energy from the elements = 2.25 eV per atom; total energy = -2.450 eV/atom; excess energy over the best structure of this formula in the dataset = 1.984 eV per atom
1.0
-4.043 -6.979 4.318
5.066 -6.771 3.490
0.844 -0.875 9.067
Er Nd
2 4
Cartesian
0.933 -7.312 8.437
0.467 -3.656 4.219
-1.321 -8.974 8.487
0.700 -5.484 6.328
3.233 -8.870 8.073
1.122 -5.922 10.862

NdEr (PBE-GGA, optimized geometry); SG = F-43m, No. 216; formation energy from the elements = 1.74 eV per atom; total energy = -2.919 eV/atom; excess energy over the best structure of this formula in the dataset = 1.710 eV per atom
1.0
-1.900 -4.586 0.214
-4.731 -0.668 1.363
-3.369 -1.452 -3.351
Nd Er
1 1
Cartesian
-2.500 -1.676 -0.444
0.000 0.000 0.000

Nd2Er (PBE-GGA, optimized geometry); SG = Fd-3m, No. 227; formation energy from the elements = 0.26 eV per atom; total energy = -4.433 eV/atom; excess energy over the best structure of this formula in the dataset = 0.000 eV per atom
1.0
0.000 4.700 4.700
4.700 0.000 4.700
4.700 4.700 0.000
Nd Er
4 2
Cartesian
3.525 5.875 3.525
3.525 3.525 5.875
5.875 3.525 3.525
5.875 5.875 5.875
0.000 0.000 0.000
2.350 2.350 2.350

NdErNi4 (PBE-GGA, optimized geometry); SG = P6/mmm, No. 191; formation energy from the elements = -0.05 eV per atom; total energy = -5.318 eV/atom; excess energy over the best structure of this formula in the dataset = 0.343 eV per atom
1.0
-1.600 0.446 5.144
-1.675 -4.174 -2.999
6.352 -4.232 2.343
Er Ni Nd
2 8 2
Cartesian
-1.612 -0.324 3.787
-1.662 -3.404 -1.642
1.514 -5.520 -0.470
0.923 -0.925 3.207
3.829 -2.861 4.279
1.723 -1.148 0.635
4.629 -3.084 1.707
1.564 -2.440 4.958
0.886 -3.235 -0.864
3.792 -5.171 0.208
-1.637 -1.864 1.073
1.539 -3.980 2.244

NdErNi4 (PBE-GGA, optimized geometry); SG = F-43m, No. 216; formation energy from the elements = -0.40 eV per atom; total energy = -5.661 eV/atom; excess energy over the best structure of this formula in the dataset = 0.000 eV per atom
1.0
0.000 3.599 3.599
3.599 0.000 3.599
3.599 3.599 0.000
Ni Nd Er
4 1 1
Cartesian
4.492 6.305 4.492
4.492 4.492 6.305
6.305 6.305 6.305
6.305 4.492 4.492
3.599 3.599 3.599
1.800 1.800 1.800

Nd2Er2Ni (PBE-GGA, optimized geometry); SG = P6_3/mmc, No. 194; formation energy from the elements = 0.04 eV per atom; total energy = -4.806 eV/atom
1.0
-4.442 0.800 2.977
3.615 -3.735 1.487
5.209 7.351 5.798
Er Nd Ni
4 4 2
Cartesian
0.000 0.000 0.000
4.836 3.289 6.332
-0.454 1.126 3.930
2.604 3.675 2.899
1.352 3.673 5.939
2.950 5.929 7.718
3.031 0.742 4.323
1.433 -1.513 2.544
3.907 5.513 4.348
1.302 1.838 1.449

Nd2ErNi9 (PBE-GGA, optimized geometry); SG = R-3m, No. 166; formation energy from the elements = -0.35 eV per atom; total energy = -5.695 eV/atom
1.0
2.481 1.432 8.270
-2.481 1.432 8.270
0.000 -2.865 8.270
Ni Nd Er
9 2 1
Cartesian
0.000 0.000 16.549
0.000 0.000 8.260
1.237 -0.714 10.244
1.237 0.714 14.565
0.000 1.429 10.244
-1.237 -0.714 10.244
-1.237 0.714 14.565
0.000 -1.429 14.565
0.000 0.000 12.405
0.000 0.000 21.385
0.000 0.000 3.424
0.000 0.000 0.000

NdEr2NiSn3Pt2 (PBE-GGA, optimized geometry); SG = Amm2, No. 38; total energy = -5.806 eV/atom
1.0
3.950 0.000 0.000
0.000 6.545 3.749
0.000 -6.545 3.749
Pt Nd Er Ni Sn
2 1 2 1 3
Cartesian
1.975 -2.248 3.730
1.975 2.248 3.730
0.000 0.000 4.434
0.000 -3.889 5.267
0.000 3.889 5.267
0.000 0.000 0.041
1.975 -4.918 2.835
1.975 0.000 1.850
1.975 4.918 2.835

NdErSi4Ni2 (PBE-GGA, optimized geometry); SG = Amm2, No. 38; total energy = -6.089 eV/atom
1.0
-2.768 -2.122 1.976
4.198 -7.104 -1.749
5.779 -5.879 1.782
Ni Si Er Nd
2 4 1 1
Cartesian
0.399 -3.382 0.994
8.177 -10.640 0.027
2.479 -3.226 0.008
-0.967 -1.605 0.989
9.594 -12.484 0.032
6.078 -10.772 1.013
6.054 -7.878 0.020
2.557 -6.190 1.001

NdErSi2Ni2 (PBE-GGA, optimized geometry); SG = P4mm, No. 99; total energy = -5.967 eV/atom
1.0
4.081 0.000 0.000
0.000 4.081 0.000
0.000 0.000 6.619
Ni Si Er Nd
2 2 1 1
Cartesian
0.000 2.041 6.589
2.041 0.000 6.589
0.000 0.000 1.181
2.041 2.041 5.350
0.000 0.000 4.610
2.041 2.041 2.157

Nd3Y2ErNiTe2 (PBE-GGA, optimized geometry); SG = Amm2, No. 38; total energy = -5.595 eV/atom
1.0
4.026 0.000 0.000
0.000 7.339 4.249
0.000 -7.339 4.249
Te Ni Nd Er Y
2 1 3 1 2
Cartesian
0.000 -2.449 4.250
0.000 2.449 4.250
2.013 0.000 0.058
2.013 -2.963 1.723
2.013 2.963 1.723
2.013 0.000 5.033
0.000 0.000 1.987
0.000 1.737 7.484
0.000 -1.737 7.484

NdErTlNi2 (PBE-GGA, optimized geometry); SG = Amm2, No. 38; total energy = -5.003 eV/atom
1.0
3.719 0.000 0.000
0.000 1.970 7.236
0.000 -1.970 7.236
Ni Nd Tl Er
2 1 1 1
Cartesian
0.000 0.000 11.514
0.000 0.000 2.862
1.860 0.000 5.248
0.000 0.000 0.064
1.860 0.000 9.257